Here is a geometry-optimized Hg2AuSe structure from Alexandria. Energies are from GGA-PBEsol.

CIF file:
```
data_Hg2AuSe
_space_group_name_H-M_alt 'P 4/m m m'
_space_group_IT_number 123
_space_group_name_Hall '-P 4 2'
_cell_length_a 3.984
_cell_length_b 3.984
_cell_length_c 5.646
_cell_angle_alpha 90.00
_cell_angle_beta 90.00
_cell_angle_gamma 90.00
loop_
_atom_site_label
_atom_site_type_symbol
_atom_site_fract_x
_atom_site_fract_y
_atom_site_fract_z
_atom_site_occupancy
Hg1 Hg 0.000 0.000 0.000 1
Hg2 Hg 0.500 0.500 0.500 1
Au1 Au 0.000 0.000 0.500 1
Se1 Se 0.500 0.500 0.000 1
```

Values from the calculation:
* formation energy without anion corrections: 57 meV per atom
* energy: -2.170 eV per atom